<w>
{"formula": "CsCrP2Cl", "functional": "GGA-PBE", "state": "relaxed", "lattice_angstrom": [[5.908, 0.000, 0.000], [0.000, 5.908, 0.000], [0.000, 0.000, 6.090]], "species": ["Cs", "Cr", "P", "P", "Cl"], "frac_coords": [[0.000, 0.000, 0.000], [0.500, 0.500, 0.500], [0.000, 0.500, 0.000], [0.500, 0.000, 0.000], [0.000, 0.000, 0.500]]}

<x>
{"formula": "CsCrP2Cl", "functional": "GGA-PBE", "state": "relaxed", "lattice_angstrom": [[4.512, 0.000, 0.000], [0.000, 4.512, 0.000], [0.000, 0.000, 6.416]], "species": ["Cs", "Cr", "P", "P", "Cl"], "frac_coords": [[0.000, 0.000, 0.000], [0.500, 0.500, 0.500], [0.000, 0.500, 0.500], [0.500, 0.000, 0.500], [0.500, 0.500, 0.000]]}

Quick one: most stable of them? <x>

<w>
{"formula": "CsCrSCl2", "functional": "GGA-PBE", "state": "relaxed", "lattice_angstrom": [[6.192, 0.000, 0.000], [0.000, 6.192, 0.000], [0.000, 0.000, 5.579]], "species": ["Cs", "Cr", "S", "Cl", "Cl"], "frac_coords": [[0.000, 0.000, 0.000], [0.500, 0.500, 0.500], [0.000, 0.000, 0.500], [0.000, 0.500, 0.000], [0.500, 0.000, 0.000]]}

<x>
{"formula": "CsCrSCl2", "functional": "GGA-PBE", "state": "relaxed", "lattice_angstrom": [[5.238, 0.000, 0.000], [0.000, 5.238, 0.000], [0.000, 0.000, 4.586]], "species": ["Cs", "Cr", "S", "Cl", "Cl"], "frac_coords": [[0.000, 0.000, 0.000], [0.500, 0.500, 0.500], [0.500, 0.500, 0.000], [0.000, 0.500, 0.500], [0.500, 0.000, 0.500]]}

Quick one: most stable of them? <x>

<w>
{"formula": "CrCuCl2", "functional": "GGA-PBE", "state": "relaxed", "lattice_angstrom": [[13.593, 0.000, 0.000], [0.000, 3.176, 0.000], [-1.419, 0.000, 4.213]], "species": ["Cr", "Cr", "Cu", "Cu", "Cl", "Cl", "Cl", "Cl"], "frac_coords": [[0.000, 0.000, 0.000], [0.500, 0.500, 0.000], [0.000, 0.500, 0.500], [0.500, 0.000, 0.500], [0.134, 0.500, 0.131], [0.366, 0.000, 0.869], [0.634, 0.000, 0.131], [0.866, 0.500, 0.869]]}

<x>
{"formula": "CrCuCl2", "functional": "GGA-PBE", "state": "relaxed", "lattice_angstrom": [[3.885, 0.000, 0.000], [-1.943, 3.365, 0.000], [0.000, 0.000, 21.592]], "species": ["Cr", "Cr", "Cr", "Cu", "Cu", "Cu", "Cl", "Cl", "Cl", "Cl", "Cl", "Cl"], "frac_coords": [[0.000, 0.000, 0.000], [0.333, 0.667, 0.667], [0.667, 0.333, 0.333], [0.000, 0.000, 0.500], [0.333, 0.667, 0.167], [0.667, 0.333, 0.833], [0.000, 0.000, 0.400], [0.000, 0.000, 0.600], [0.333, 0.667, 0.067], [0.333, 0.667, 0.267], [0.667, 0.333, 0.733], [0.667, 0.333, 0.933]]}

Quick one: most stable of them? <w>

<w>
{"formula": "CrCuCl2", "functional": "GGA-PBE", "state": "relaxed", "lattice_angstrom": [[5.714, 0.000, 0.000], [0.000, 5.714, 0.000], [0.000, 0.000, 10.845]], "species": ["Cr", "Cr", "Cr", "Cr", "Cu", "Cu", "Cu", "Cu", "Cl", "Cl", "Cl", "Cl", "Cl", "Cl", "Cl", "Cl"], "frac_coords": [[0.000, 0.000, 0.000], [0.000, 0.500, 0.250], [0.500, 0.000, 0.750], [0.500, 0.500, 0.500], [0.000, 0.000, 0.500], [0.000, 0.500, 0.750], [0.500, 0.000, 0.250], [0.500, 0.500, 0.000], [0.224, 0.250, 0.625], [0.250, 0.724, 0.875], [0.250, 0.776, 0.375], [0.276, 0.250, 0.125], [0.724, 0.750, 0.125], [0.750, 0.224, 0.375], [0.750, 0.276, 0.875], [0.776, 0.750, 0.625]]}

<x>
{"formula": "CrCuCl2", "functional": "GGA-PBE", "state": "relaxed", "lattice_angstrom": [[3.513, 0.000, 0.000], [0.000, 6.497, 0.000], [0.000, 0.000, 7.182]], "species": ["Cr", "Cr", "Cu", "Cu", "Cl", "Cl", "Cl", "Cl"], "frac_coords": [[0.000, 0.000, 0.000], [0.500, 0.500, 0.500], [0.000, 0.000, 0.500], [0.500, 0.500, 0.000], [0.000, 0.500, 0.239], [0.000, 0.500, 0.761], [0.500, 0.000, 0.261], [0.500, 0.000, 0.739]]}

<y>
{"formula": "CrCuCl2", "functional": "GGA-PBE", "state": "relaxed", "lattice_angstrom": [[3.435, 0.000, 0.000], [-1.718, 2.975, 0.000], [0.000, 0.000, 23.523]], "species": ["Cr", "Cr", "Cr", "Cu", "Cu", "Cu", "Cl", "Cl", "Cl", "Cl", "Cl", "Cl"], "frac_coords": [[0.000, 0.000, 0.000], [0.333, 0.667, 0.667], [0.667, 0.333, 0.333], [0.000, 0.000, 0.263], [0.333, 0.667, 0.930], [0.667, 0.333, 0.597], [0.000, 0.000, 0.540], [0.000, 0.000, 0.724], [0.333, 0.667, 0.206], [0.333, 0.667, 0.391], [0.667, 0.333, 0.057], [0.667, 0.333, 0.873]]}

<z>
{"formula": "CrCuCl2", "functional": "GGA-PBE", "state": "relaxed", "lattice_angstrom": [[6.538, 0.000, 0.000], [0.000, 6.538, 0.000], [0.000, 0.000, 6.538]], "species": ["Cr", "Cr", "Cr", "Cr", "Cu", "Cu", "Cu", "Cu", "Cl", "Cl", "Cl", "Cl", "Cl", "Cl", "Cl", "Cl"], "frac_coords": [[0.000, 0.000, 0.000], [0.000, 0.500, 0.500], [0.500, 0.000, 0.500], [0.500, 0.500, 0.000], [0.000, 0.000, 0.500], [0.000, 0.500, 0.000], [0.500, 0.000, 0.000], [0.500, 0.500, 0.500], [0.250, 0.250, 0.250], [0.250, 0.250, 0.750], [0.250, 0.750, 0.250], [0.250, 0.750, 0.750], [0.750, 0.250, 0.250], [0.750, 0.250, 0.750], [0.750, 0.750, 0.250], [0.750, 0.750, 0.750]]}

Quick one: most stable of them? <y>

<w>
{"formula": "CrCuCl2", "functional": "GGA-PBE", "state": "relaxed", "lattice_angstrom": [[3.547, 0.000, 0.000], [0.000, 6.709, 0.000], [0.000, 0.000, 7.085]], "species": ["Cr", "Cr", "Cu", "Cu", "Cl", "Cl", "Cl", "Cl"], "frac_coords": [[0.000, 0.000, 0.000], [0.500, 0.500, 0.000], [0.000, 0.000, 0.500], [0.500, 0.500, 0.500], [0.000, 0.500, 0.261], [0.000, 0.500, 0.739], [0.500, 0.000, 0.261], [0.500, 0.000, 0.739]]}

<x>
{"formula": "CrCuCl2", "functional": "GGA-PBE", "state": "relaxed", "lattice_angstrom": [[11.681, 0.000, 0.000], [0.000, 3.419, 0.000], [-0.013, 0.000, 4.196]], "species": ["Cr", "Cr", "Cu", "Cu", "Cl", "Cl", "Cl", "Cl"], "frac_coords": [[0.000, 0.000, 0.000], [0.500, 0.500, 0.000], [0.314, 0.000, 0.126], [0.814, 0.500, 0.126], [0.187, 0.500, 0.984], [0.452, 0.000, 0.506], [0.687, 0.000, 0.984], [0.952, 0.500, 0.506]]}

<y>
{"formula": "CrCuCl2", "functional": "GGA-PBE", "state": "relaxed", "lattice_angstrom": [[3.520, 0.000, 0.000], [0.000, 3.599, 0.000], [0.000, 0.000, 6.260]], "species": ["Cr", "Cu", "Cl", "Cl"], "frac_coords": [[0.000, 0.000, 0.000], [0.500, 0.000, 0.500], [0.000, 0.500, 0.500], [0.500, 0.500, 0.000]]}

Quick one: most stable of them? <x>

<w>
{"formula": "CrCuCl2", "functional": "GGA-PBE", "state": "relaxed", "lattice_angstrom": [[3.807, 0.000, 0.000], [-1.903, 3.297, 0.000], [0.000, 0.000, 17.834]], "species": ["Cr", "Cr", "Cr", "Cu", "Cu", "Cu", "Cl", "Cl", "Cl", "Cl", "Cl", "Cl"], "frac_coords": [[0.000, 0.000, 0.000], [0.333, 0.667, 0.667], [0.667, 0.333, 0.333], [0.000, 0.000, 0.500], [0.333, 0.667, 0.167], [0.667, 0.333, 0.833], [0.000, 0.000, 0.247], [0.000, 0.000, 0.753], [0.333, 0.667, 0.420], [0.333, 0.667, 0.913], [0.667, 0.333, 0.087], [0.667, 0.333, 0.580]]}

<x>
{"formula": "CrCuCl2", "functional": "GGA-PBE", "state": "relaxed", "lattice_angstrom": [[6.634, 0.000, 0.000], [0.000, 6.634, 0.000], [0.000, 0.000, 6.634]], "species": ["Cr", "Cr", "Cr", "Cr", "Cu", "Cu", "Cu", "Cu", "Cl", "Cl", "Cl", "Cl", "Cl", "Cl", "Cl", "Cl"], "frac_coords": [[0.000, 0.000, 0.000], [0.000, 0.500, 0.500], [0.500, 0.000, 0.500], [0.500, 0.500, 0.000], [0.250, 0.250, 0.750], [0.250, 0.750, 0.250], [0.750, 0.250, 0.250], [0.750, 0.750, 0.750], [0.000, 0.000, 0.500], [0.000, 0.500, 0.000], [0.250, 0.250, 0.250], [0.250, 0.750, 0.750], [0.500, 0.000, 0.000], [0.500, 0.500, 0.500], [0.750, 0.250, 0.750], [0.750, 0.750, 0.250]]}

Quick one: most stable of them? <w>